# 1
VASP calculation (GGA-PBE) on a relaxed Tm2TcRu crystal.

```
data_Tm2TcRu
_symmetry_space_group_name_H-M 'P 1'
_symmetry_Int_Tables_number 1
_cell_length_a 3.363
_cell_length_b 3.363
_cell_length_c 6.808
_cell_angle_alpha 90.00
_cell_angle_beta 90.00
_cell_angle_gamma 90.00
loop_
_symmetry_equiv_pos_as_xyz
'x,y,z'
loop_
_atom_site_label
_atom_site_type_symbol
_atom_site_fract_x
_atom_site_fract_y
_atom_site_fract_z
_atom_site_occupancy
Tm1 Tm 0.000 0.000 0.245 1
Tm2 Tm 0.000 0.000 0.755 1
Tc1 Tc 0.500 0.500 0.500 1
Ru1 Ru 0.500 0.500 0.000 1
```

Output
As for the mass density: 11582 kg/m3. The value obtained for the calculated volume is 77 Å³/f.u. The value obtained for the energy of formation is -0.58 eV per formula unit. Its size of the total moment is 0.7 μB/f.u. As for the density of states at the Fermi level: 1.442 states/eV/atom. The raw total energy comes out at -7.290 eV per atom.

***

# 2
VASP calculation (GGA-PBE) on a relaxed Cd2AsW crystal.

```
data_Cd2AsW
_symmetry_space_group_name_H-M 'P 1'
_symmetry_Int_Tables_number 1
_cell_length_a 6.222
_cell_length_b 6.222
_cell_length_c 6.222
_cell_angle_alpha 100.08
_cell_angle_beta 100.08
_cell_angle_gamma 130.53
loop_
_symmetry_equiv_pos_as_xyz
'x,y,z'
loop_
_atom_site_label
_atom_site_type_symbol
_atom_site_fract_x
_atom_site_fract_y
_atom_site_fract_z
_atom_site_occupancy
Cd1 Cd 0.110 0.625 0.985 1
Cd2 Cd 0.375 0.360 0.485 1
Cd3 Cd 0.640 0.125 0.015 1
Cd4 Cd 0.875 0.890 0.515 1
As1 As 0.000 0.000 0.000 1
As2 As 0.750 0.250 0.500 1
W1 W 0.250 0.750 0.500 1
W2 W 0.500 0.500 0.000 1
```

Output
As for the mass density: 9660 kg/m3. The value obtained for the calculated volume is 83 Å³/f.u. The value obtained for the energy of formation is 3.41 eV per formula unit. Its size of the total moment is 1.3 μB/f.u. As for the density of states at the Fermi level: 0.792 states/eV/atom. The raw total energy comes out at -4.005 eV per atom.

***

# 3
VASP calculation (GGA-PBE) on a relaxed HgAsPt2Au crystal.

```
data_HgAsPt2Au
_symmetry_space_group_name_H-M 'P 1'
_symmetry_Int_Tables_number 1
_cell_length_a 5.131
_cell_length_b 5.131
_cell_length_c 4.654
_cell_angle_alpha 90.00
_cell_angle_beta 90.00
_cell_angle_gamma 90.00
loop_
_symmetry_equiv_pos_as_xyz
'x,y,z'
loop_
_atom_site_label
_atom_site_type_symbol
_atom_site_fract_x
_atom_site_fract_y
_atom_site_fract_z
_atom_site_occupancy
Hg1 Hg 0.000 0.000 0.000 1
As1 As 0.500 0.500 0.000 1
Pt1 Pt 0.000 0.500 0.500 1
Pt2 Pt 0.500 0.000 0.500 1
Au1 Au 0.500 0.500 0.500 1
```

Output
As for the mass density: 11693 kg/m3. The value obtained for the calculated volume is 123 Å³/f.u. The value obtained for the energy of formation is 4.96 eV per formula unit. Its size of the total moment is 0.0 μB/f.u. As for the density of states at the Fermi level: 0.981 states/eV/atom. The raw total energy comes out at -3.069 eV per atom.

***

# 4
VASP calculation (GGA-PBE) on a relaxed PH2W crystal.

```
data_PH2W
_symmetry_space_group_name_H-M 'P 1'
_symmetry_Int_Tables_number 1
_cell_length_a 3.678
_cell_length_b 3.678
_cell_length_c 3.678
_cell_angle_alpha 60.00
_cell_angle_beta 60.00
_cell_angle_gamma 60.00
loop_
_symmetry_equiv_pos_as_xyz
'x,y,z'
loop_
_atom_site_label
_atom_site_type_symbol
_atom_site_fract_x
_atom_site_fract_y
_atom_site_fract_z
_atom_site_occupancy
P1 P 0.000 0.000 0.000 1
H1 H 0.250 0.250 0.250 1
H2 H 0.750 0.750 0.750 1
W1 W 0.500 0.500 0.500 1
```

Output
As for the mass density: 10231 kg/m3. The value obtained for the calculated volume is 35 Å³/f.u. The calculation puts the offset from the most stable computed form at 0.93 eV/f.u. Its size of the total moment is 0.0 μB/f.u. As for the density of states at the Fermi level: 0.678 states/eV/atom. The raw total energy comes out at -5.257 eV per atom.

***

# 5
VASP calculation (GGA-PBE) on a relaxed ScSe2N crystal.

```
data_ScSe2N
_symmetry_space_group_name_H-M 'P 1'
_symmetry_Int_Tables_number 1
_cell_length_a 8.254
_cell_length_b 8.254
_cell_length_c 8.254
_cell_angle_alpha 23.18
_cell_angle_beta 23.18
_cell_angle_gamma 23.18
loop_
_symmetry_equiv_pos_as_xyz
'x,y,z'
loop_
_atom_site_label
_atom_site_type_symbol
_atom_site_fract_x
_atom_site_fract_y
_atom_site_fract_z
_atom_site_occupancy
Sc1 Sc 0.000 0.000 0.000 1
Se1 Se 0.109 0.109 0.109 1
Se2 Se 0.891 0.891 0.891 1
N1 N 0.500 0.500 0.500 1
```

Output
As for the mass density: 4711 kg/m3. The value obtained for the calculated volume is 76 Å³/f.u. Its size of the total moment is 0.0 μB/f.u. As for the density of states at the Fermi level: 0.637 states/eV/atom. The raw total energy comes out at -4.540 eV per atom. Its uncorrected formation energy is 0.867 eV/atom.

***

# 6
VASP calculation (GGA-PBE) on a relaxed La5PrSc crystal.

```
data_La5PrSc
_symmetry_space_group_name_H-M 'P 1'
_symmetry_Int_Tables_number 1
_cell_length_a 5.465
_cell_length_b 5.465
_cell_length_c 8.673
_cell_angle_alpha 90.00
_cell_angle_beta 90.00
_cell_angle_gamma 90.00
loop_
_symmetry_equiv_pos_as_xyz
'x,y,z'
loop_
_atom_site_label
_atom_site_type_symbol
_atom_site_fract_x
_atom_site_fract_y
_atom_site_fract_z
_atom_site_occupancy
La1 La 0.000 0.000 0.000 1
La2 La 0.000 0.500 0.293 1
La3 La 0.000 0.500 0.707 1
La4 La 0.500 0.000 0.293 1
La5 La 0.500 0.000 0.707 1
Pr1 Pr 0.500 0.500 0.000 1
Sc1 Sc 0.500 0.500 0.500 1
```

Output
As for the mass density: 5645 kg/m3. The value obtained for the calculated volume is 259 Å³/f.u. The value obtained for the energy of formation is 1.53 eV per formula unit. Its size of the total moment is 0.3 μB/f.u. As for the density of states at the Fermi level: 1.771 states/eV/atom. The raw total energy comes out at -4.889 eV per atom.

***

# 7
VASP calculation (GGA-PBE) on a relaxed BaFe2SiS crystal.

```
data_BaFe2SiS
_symmetry_space_group_name_H-M 'P 1'
_symmetry_Int_Tables_number 1
_cell_length_a 4.483
_cell_length_b 4.483
_cell_length_c 6.603
_cell_angle_alpha 90.00
_cell_angle_beta 90.00
_cell_angle_gamma 90.00
loop_
_symmetry_equiv_pos_as_xyz
'x,y,z'
loop_
_atom_site_label
_atom_site_type_symbol
_atom_site_fract_x
_atom_site_fract_y
_atom_site_fract_z
_atom_site_occupancy
Ba1 Ba 0.000 0.000 0.000 1
Fe1 Fe 0.000 0.500 0.500 1
Fe2 Fe 0.500 0.000 0.500 1
Si1 Si 0.000 0.000 0.500 1
S1 S 0.500 0.500 0.000 1
```

Output
As for the mass density: 3869 kg/m3. The value obtained for the calculated volume is 133 Å³/f.u. Its size of the total moment is 6.0 μB/f.u. As for the density of states at the Fermi level: 0.862 states/eV/atom. The raw total energy comes out at -5.426 eV per atom. Its uncorrected formation energy is 0.253 eV/atom.

***

# 8
VASP calculation (GGA-PBE) on a relaxed NpGa3Fe3 crystal.

```
data_NpGa3Fe3
_symmetry_space_group_name_H-M 'P 1'
_symmetry_Int_Tables_number 1
_cell_length_a 6.530
_cell_length_b 6.530
_cell_length_c 6.530
_cell_angle_alpha 90.00
_cell_angle_beta 90.00
_cell_angle_gamma 90.00
loop_
_symmetry_equiv_pos_as_xyz
'x,y,z'
loop_
_atom_site_label
_atom_site_type_symbol
_atom_site_fract_x
_atom_site_fract_y
_atom_site_fract_z
_atom_site_occupancy
Np1 Np 0.000 0.000 0.000 1
Np2 Np 0.500 0.500 0.500 1
Ga1 Ga 0.000 0.250 0.500 1
Ga2 Ga 0.000 0.750 0.500 1
Ga3 Ga 0.250 0.500 0.000 1
Ga4 Ga 0.500 0.000 0.250 1
Ga5 Ga 0.500 0.000 0.750 1
Ga6 Ga 0.750 0.500 0.000 1
Fe1 Fe 0.000 0.500 0.250 1
Fe2 Fe 0.000 0.500 0.750 1
Fe3 Fe 0.250 0.000 0.500 1
Fe4 Fe 0.500 0.250 0.000 1
Fe5 Fe 0.500 0.750 0.000 1
Fe6 Fe 0.750 0.000 0.500 1
```

Output
As for the mass density: 7319 kg/m3. The value obtained for the calculated volume is 139 Å³/f.u. The value obtained for the energy of formation is 4.79 eV per formula unit. Its size of the total moment is 10.3 μB/f.u. As for the density of states at the Fermi level: 3.123 states/eV/atom. The raw total energy comes out at -6.088 eV per atom.

***

# 9
VASP calculation (GGA-PBE) on a relaxed BaPmSbPd crystal.

```
data_BaPmSbPd
_symmetry_space_group_name_H-M 'P 1'
_symmetry_Int_Tables_number 1
_cell_length_a 5.527
_cell_length_b 5.527
_cell_length_c 5.527
_cell_angle_alpha 60.00
_cell_angle_beta 60.00
_cell_angle_gamma 60.00
loop_
_symmetry_equiv_pos_as_xyz
'x,y,z'
loop_
_atom_site_label
_atom_site_type_symbol
_atom_site_fract_x
_atom_site_fract_y
_atom_site_fract_z
_atom_site_occupancy
Ba1 Ba 0.000 0.000 0.000 1
Pm1 Pm 0.500 0.500 0.500 1
Sb1 Sb 0.750 0.750 0.750 1
Pd1 Pd 0.250 0.250 0.250 1
```

Output
As for the mass density: 7101 kg/m3. The value obtained for the calculated volume is 119 Å³/f.u. Its size of the total moment is 0.0 μB/f.u. As for the density of states at the Fermi level: 0.449 states/eV/atom. The raw total energy comes out at -4.663 eV per atom. Its uncorrected formation energy is -0.666 eV/atom.

***

# 10
VASP calculation (GGA-PBE) on a relaxed Na2SbAuBr6 crystal.

```
data_Na2SbAuBr6
_symmetry_space_group_name_H-M 'P 1'
_symmetry_Int_Tables_number 1
_cell_length_a 7.487
_cell_length_b 7.539
_cell_length_c 7.978
_cell_angle_alpha 107.23
_cell_angle_beta 102.03
_cell_angle_gamma 115.48
loop_
_symmetry_equiv_pos_as_xyz
'x,y,z'
loop_
_atom_site_label
_atom_site_type_symbol
_atom_site_fract_x
_atom_site_fract_y
_atom_site_fract_z
_atom_site_occupancy
Na1 Na 0.000 0.000 0.000 1
Na2 Na 0.086 0.439 0.625 1
Sb1 Sb 0.618 0.313 0.014 1
Au1 Au 0.612 0.792 0.500 1
Br1 Br 0.017 0.396 0.240 1
Br2 Br 0.206 0.174 0.762 1
Br3 Br 0.440 0.150 0.234 1
Br4 Br 0.525 0.857 0.781 1
Br5 Br 0.710 0.738 0.224 1
Br6 Br 0.829 0.534 0.804 1
```

Output
As for the mass density: 3920 kg/m3. The value obtained for the calculated volume is 358 Å³/f.u. Its size of the total moment is 0.0 μB/f.u. As for the density of states at the Fermi level: 0.000 states/eV/atom. The raw total energy comes out at -2.850 eV per atom. Its uncorrected formation energy is -0.842 eV/atom.

***

Copy entry 1 word for word.
VASP calculation (GGA-PBE) on a relaxed Tm2TcRu crystal.

```
data_Tm2TcRu
_symmetry_space_group_name_H-M 'P 1'
_symmetry_Int_Tables_number 1
_cell_length_a 3.363
_cell_length_b 3.363
_cell_length_c 6.808
_cell_angle_alpha 90.00
_cell_angle_beta 90.00
_cell_angle_gamma 90.00
loop_
_symmetry_equiv_pos_as_xyz
'x,y,z'
loop_
_atom_site_label
_atom_site_type_symbol
_atom_site_fract_x
_atom_site_fract_y
_atom_site_fract_z
_atom_site_occupancy
Tm1 Tm 0.000 0.000 0.245 1
Tm2 Tm 0.000 0.000 0.755 1
Tc1 Tc 0.500 0.500 0.500 1
Ru1 Ru 0.500 0.500 0.000 1
```

Output
As for the mass density: 11582 kg/m3. The value obtained for the calculated volume is 77 Å³/f.u. The value obtained for the energy of formation is -0.58 eV per formula unit. Its size of the total moment is 0.7 μB/f.u. As for the density of states at the Fermi level: 1.442 states/eV/atom. The raw total energy comes out at -7.290 eV per atom.

***

- Number 3 is which compound?
  HgAsPt2Au